Density functional theory data (GGA-PBE) for a geometry-optimized PrDy2HoTm2 structure.

Results
- Formation energy from the elements: 0.28 eV/atom
- Total magnetic moment: 0.00 μB per atom

Lattice parameters (Å, degrees): 3.401 6.474 17.814 90.00 90.00 90.00
Fractional coordinates of all 12 atoms:
1 Pr 0.000 0.000 0.000
2 Pr 0.500 0.500 0.500
3 Dy 0.500 0.282 0.311
4 Dy 0.000 0.782 0.189
5 Dy 0.500 0.718 0.689
6 Dy 0.000 0.218 0.811
7 Ho 0.500 0.500 0.000
8 Ho 0.000 0.000 0.500
9 Tm 0.500 0.784 0.353
10 Tm 0.500 0.216 0.647
11 Tm 0.000 0.716 0.853
12 Tm 0.000 0.284 0.147

***

Density functional theory data (GGA-PBE) for a geometry-optimized PrDyHoTm structure.

Results
- Formation energy from the elements: 0.12 eV/atom
- Total magnetic moment: 0.00 μB per atom
- Excess energy over the best structure of this formula in the dataset: 0.000 eV/atom

Lattice parameters (Å, degrees): 5.685 5.685 5.685 60.00 60.00 60.00
Fractional coordinates of all 4 atoms:
1 Pr 0.250 0.250 0.250
2 Tm 0.500 0.500 0.500
3 Ho 0.000 0.000 0.000
4 Dy 0.750 0.750 0.750

***

Density functional theory data (GGA-PBE) for a geometry-optimized Pr2Dy6Ho3Tm structure.

Results
- Formation energy from the elements: 0.02 eV/atom
- Total magnetic moment: 0.00 μB per atom

Lattice parameters (Å, degrees): 6.164 6.164 11.805 94.97 94.97 119.97
Fractional coordinates of all 12 atoms:
1 Pr 0.334 0.666 0.000
2 Pr 0.666 0.334 0.000
3 Dy 0.915 0.583 0.747
4 Dy 0.753 0.753 0.254
5 Dy 0.085 0.417 0.253
6 Dy 0.583 0.915 0.747
7 Dy 0.247 0.247 0.746
8 Dy 0.417 0.085 0.253
9 Ho 0.166 0.834 0.500
10 Ho 0.834 0.166 0.500
11 Ho 0.500 0.500 0.500
12 Tm 0.000 0.000 0.000

***

Density functional theory data (GGA-PBE) for a geometry-optimized Pr6Dy2HoTm structure.

Results
- Formation energy from the elements: 0.12 eV/atom
- Total magnetic moment: 0.00 μB per atom

Lattice parameters (Å, degrees): 9.670 9.010 9.010 117.78 93.84 93.84
Fractional coordinates of all 20 atoms:
1 Pr 0.054 0.117 0.765
2 Pr 0.446 0.235 0.883
3 Pr 0.946 0.883 0.235
4 Pr 0.554 0.765 0.117
5 Pr 0.310 0.994 0.435
6 Pr 0.190 0.565 0.006
7 Pr 0.690 0.006 0.565
8 Pr 0.810 0.435 0.994
9 Pr 0.117 0.708 0.490
10 Pr 0.383 0.510 0.292
11 Pr 0.883 0.292 0.510
12 Pr 0.617 0.490 0.708
13 Dy 0.454 0.799 0.703
14 Dy 0.046 0.297 0.201
15 Dy 0.546 0.201 0.297
16 Dy 0.954 0.703 0.799
17 Ho 0.250 0.973 0.027
18 Ho 0.750 0.027 0.973
19 Tm 0.250 0.413 0.587
20 Tm 0.750 0.587 0.413